# Li6CaCd

Crystalline Li6CaCd at its relaxed geometry (PBE-GGA, Alexandria via LeMat-Bulk).

Structure (extended XYZ):
```
8
Lattice="4.917 0.000 0.000 0.000 3.550 5.045 0.000 -3.550 5.045" Properties=species:S:1:pos:R:3 pbc="T T T"
Li 0.000 0.000 0.000
Li 0.000 -1.530 2.394
Li 0.000 1.530 2.394
Li 0.000 0.000 4.790
Li 2.459 -1.780 4.934
Li 2.459 1.780 4.934
Ca 2.459 0.000 7.452
Cd 2.459 0.000 2.421
```

**Energy of formation**: -0.044 eV/atom
**Distance to the lowest polymorph of the same formula**: 0 meV/atom
**Theoretical density**: 1.8 Mg/m³
**Calculated volume**: 176.1 Å³ per cell